1.
Entry from Alexandria: a geometry-optimized Rb2Se2Cl structure (PBEsol).

Calculated values
Electronic total energy (eV per atom): -3.480
Raw formation energy (eV/f.u.): -5.64

Unit cell a=9.7207 b=9.7207 c=9.7207 alpha=156.44 beta=156.44 gamma=33.56
Fractional positions:
Rb  0.1000  0.1000  0.0000
Rb  0.9000  0.9000  0.0000
Se  0.2500  0.7500  0.5000
Se  0.7500  0.2500  0.5000
Cl  0.5000  0.5000  0.0000

2.
Entry from Alexandria: a geometry-optimized RbZnSiCl2 structure (PBEsol).

Calculated values
Electronic total energy (eV per atom): -2.900
Raw formation energy (eV/f.u.): -2.13

Unit cell a=5.4086 b=5.4086 c=4.5704 alpha=90.00 beta=90.00 gamma=90.00
Fractional positions:
Rb  0.0000  0.0000  0.0000
Zn  0.5000  0.5000  0.5000
Si  0.5000  0.5000  0.0000
Cl  0.0000  0.5000  0.5000
Cl  0.5000  0.0000  0.5000

3.
Entry from Alexandria: a geometry-optimized RbSm2Cl7 structure (PBEsol).

Calculated values
Electronic total energy (eV per atom): -4.783
Raw formation energy (eV/f.u.): -22.57

Unit cell a=13.0599 b=7.0023 c=12.7250 alpha=90.00 beta=90.00 gamma=90.00
Fractional positions:
Rb  0.0396  0.2500  0.1945
Rb  0.4604  0.7500  0.6945
Rb  0.5396  0.2500  0.3055
Rb  0.9604  0.7500  0.8055
Sm  0.2340  0.2500  0.5372
Sm  0.2463  0.2500  0.8416
Sm  0.2537  0.7500  0.3416
Sm  0.2660  0.7500  0.0372
Sm  0.7340  0.2500  0.9628
Sm  0.7463  0.2500  0.6584
Sm  0.7537  0.7500  0.1584
Sm  0.7660  0.7500  0.4628
Cl  0.1075  0.7500  0.1854
Cl  0.1178  0.0102  0.4172
Cl  0.1178  0.4898  0.4172
Cl  0.1284  0.0087  0.9600
Cl  0.1284  0.4913  0.9600
Cl  0.1716  0.0053  0.6914
Cl  0.1716  0.4947  0.6914
Cl  0.3284  0.5053  0.1914
Cl  0.3284  0.9947  0.1914
Cl  0.3716  0.5087  0.4600
Cl  0.3716  0.9913  0.4600
Cl  0.3822  0.5102  0.9172
Cl  0.3822  0.9898  0.9172
Cl  0.3925  0.2500  0.6854
Cl  0.6075  0.7500  0.3146
Cl  0.6178  0.0102  0.0828
Cl  0.6178  0.4898  0.0828
Cl  0.6284  0.0087  0.5400
Cl  0.6284  0.4913  0.5400
Cl  0.6716  0.0053  0.8086
Cl  0.6716  0.4947  0.8086
Cl  0.8284  0.5053  0.3086
Cl  0.8284  0.9947  0.3086
Cl  0.8716  0.5087  0.0400
Cl  0.8716  0.9913  0.0400
Cl  0.8822  0.5102  0.5828
Cl  0.8822  0.9898  0.5828
Cl  0.8925  0.2500  0.8146

4.
Entry from Alexandria: a geometry-optimized Rb3SnCl structure (PBEsol).

Calculated values
Electronic total energy (eV per atom): -2.508
Raw formation energy (eV/f.u.): -3.20

Unit cell a=6.1578 b=6.1578 c=6.1578 alpha=90.00 beta=90.00 gamma=90.00
Fractional positions:
Rb  0.0000  0.0000  0.5000
Rb  0.0000  0.5000  0.0000
Rb  0.5000  0.0000  0.0000
Sn  0.5000  0.5000  0.5000
Cl  0.0000  0.0000  0.0000

5.
Entry from Alexandria: a geometry-optimized RbSnCl3 structure (PBEsol).

Calculated values
Electronic total energy (eV per atom): -3.653
Raw formation energy (eV/f.u.): -6.96

Unit cell a=7.5545 b=7.5545 c=7.5545 alpha=62.62 beta=62.62 gamma=62.62
Fractional positions:
Rb  0.0000  0.0000  0.0000
Rb  0.5000  0.5000  0.5000
Sn  0.2668  0.2668  0.2668
Sn  0.7668  0.7668  0.7668
Cl  0.0557  0.4175  0.5890
Cl  0.0890  0.9175  0.5557
Cl  0.4175  0.5890  0.0557
Cl  0.5557  0.0890  0.9175
Cl  0.5890  0.0557  0.4175
Cl  0.9175  0.5557  0.0890

6.
Entry from Alexandria: a geometry-optimized RbSrCl3 structure (PBEsol).

Calculated values
Electronic total energy (eV per atom): -4.025
Raw formation energy (eV/f.u.): -11.24

Unit cell a=7.6264 b=7.6264 c=5.6656 alpha=90.00 beta=90.00 gamma=90.00
Fractional positions:
Rb  0.0000  0.5000  0.0000
Rb  0.5000  0.0000  0.0000
Sr  0.0000  0.0000  0.5000
Sr  0.5000  0.5000  0.5000
Cl  0.0000  0.0000  0.0000
Cl  0.1682  0.3318  0.5000
Cl  0.3318  0.8318  0.5000
Cl  0.5000  0.5000  0.0000
Cl  0.6682  0.1682  0.5000
Cl  0.8318  0.6682  0.5000